This record from Alexandria describes an optimized crystal structure of Rb2BiC2O6. The functional is GGA-PBE.

extended XYZ file:
```
11
Lattice="5.403 0.000 0.000 -2.701 6.110 0.111 0.000 -3.365 6.131" Properties=species:S:1:pos:R:3 pbc="T T T"
C 0.000 -2.440 4.535
C 2.701 5.186 1.707
O 4.282 -1.811 4.850
Rb 0.000 1.030 4.978
O 2.701 2.543 4.062
O -1.580 4.556 1.392
Rb 2.701 1.716 1.264
O 0.000 0.203 2.180
O 1.121 -1.811 4.850
Bi 2.701 -1.682 3.066
O 1.580 4.556 1.392
```

Values from the calculation:
The uncorrected formation energy comes out at -1472.5 meV/atom.



This record from Alexandria describes an optimized crystal structure of CsSr2Br4. The functional is GGA-PBE.

extended XYZ file:
```
14
Lattice="9.689 0.131 -0.173 -0.568 9.673 0.172 -4.433 -5.021 7.091" Properties=species:S:1:pos:R:3 pbc="T T T"
Cs -0.218 4.779 3.631
Br 6.901 0.137 2.036
Br 4.971 -2.036 4.816
Sr 4.734 2.454 1.729
Br 2.567 4.771 1.423
Br 4.895 2.003 4.882
Sr 4.450 7.290 1.815
Br 0.065 1.923 5.734
Br 2.867 -0.079 2.103
Br 6.601 4.987 1.356
Br 0.141 -2.116 5.668
Sr 2.518 -0.056 5.275
Sr -2.326 -0.122 5.361
Cs 4.686 4.781 7.090
```

Values from the calculation:
The uncorrected formation energy comes out at -1788.4 meV/atom.



This record from Alexandria describes an optimized crystal structure of BaSm2P. The functional is GGA-PBE.

extended XYZ file:
```
4
Lattice="3.989 0.000 0.000 1.994 3.454 0.000 1.994 1.151 10.732" Properties=species:S:1:pos:R:3 pbc="T T T"
Ba 0.000 0.000 0.000
Sm 1.994 1.151 6.949
Sm 5.983 3.454 3.784
P 3.989 2.303 5.366
```

Values from the calculation:
The calculation puts the formation energy at -606.1 meV/atom.



This record from Alexandria describes an optimized crystal structure of Tl2NiW. The functional is GGA-PBE.

extended XYZ file:
```
4
Lattice="5.082 0.002 0.000 -1.358 4.897 0.000 0.000 0.000 2.973" Properties=species:S:1:pos:R:3 pbc="T T T"
Tl 1.862 2.449 0.000
Ni -0.679 2.448 1.486
W 2.541 0.001 1.486
Tl 0.000 0.000 0.000
```

Values from the calculation:
The calculation puts the formation energy at 853.5 meV/atom. The value obtained for the energy relative to the lowest polymorph listed for this composition is 0.3308 eV/atom.



This record from Alexandria describes an optimized crystal structure of CuSBr3. The functional is GGA-PBE.

extended XYZ file:
```
5
Lattice="5.141 0.000 0.000 0.000 5.141 0.000 0.000 0.000 5.141" Properties=species:S:1:pos:R:3 pbc="T T T"
Br 0.000 2.571 0.000
Br 0.000 0.000 2.571
Br 2.571 0.000 0.000
S 0.000 0.000 0.000
Cu 2.571 2.571 2.571
```

Values from the calculation:
The uncorrected formation energy comes out at 497.0 meV/atom. The value obtained for the energy relative to the lowest polymorph listed for this composition is 0.0000 eV/atom.



This record from Alexandria describes an optimized crystal structure of AgTePtSe2. The functional is GGA-PBE.

extended XYZ file:
```
5
Lattice="4.938 0.000 0.000 0.000 5.147 0.000 0.000 0.000 4.938" Properties=species:S:1:pos:R:3 pbc="T T T"
Ag 0.000 0.000 0.000
Te 2.469 2.574 2.469
Se 0.000 0.000 2.469
Se 2.469 0.000 0.000
Pt 0.000 2.574 0.000
```

Values from the calculation:
The uncorrected formation energy comes out at 891.7 meV/atom.



| no. | volume (Å³/cell) | total magnetization (μB per formula unit) |
| --- | --- | --- |
| 1 | 204.42 | 1.0 |
| 2 | 665.46 | 0.0 |
| 3 | 147.87 | 0.0 |
| 4 | 73.98 | 0.0 |
| 5 | 135.88 | 0.0 |
| 6 | 125.50 | 0.0 |